1.
The following is a DFT calculation (PBE-GGA) of a relaxed TlCuGeSeS2 crystal.

abc: 7.2546 7.2546 10.3624
angles: 90.00 90.00 151.42
Last column: nearest neighbours and their distance in Å.
Fractional positions:
Tl (0.2289, 0.7711, 0.7500)  2 Cu 3.08, 2 Se 3.22, 2 S 3.33
Tl (0.7711, 0.2289, 0.2500)  2 Cu 3.08, 2 Se 3.22, 2 S 3.33
Cu (0.0932, 0.9068, 0.2500)  2 S 2.25
Cu (0.9068, 0.0932, 0.7500)  2 S 2.25
Ge (0.5000, 0.5000, 0.0000)  4 S 2.51, 2 Se 2.65
Ge (0.5000, 0.5000, 0.5000)  4 S 2.51, 2 Se 2.65
Se (0.4616, 0.5384, 0.2500)  2 Cu 2.58, 2 Ge 2.65
Se (0.5384, 0.4616, 0.7500)  2 Cu 2.58, 2 Ge 2.65
S (0.1222, 0.8778, 0.0364)  1 Cu 2.25, 2 Ge 2.51
S (0.1222, 0.8778, 0.4636)  1 Cu 2.25, 2 Ge 2.51
S (0.8778, 0.1222, 0.5364)  1 Cu 2.25, 2 Ge 2.51
S (0.8778, 0.1222, 0.9636)  1 Cu 2.25, 2 Ge 2.51


2.
The following is a DFT calculation (PBE-GGA) of a relaxed Gd2DyIn3Fe3 crystal.

abc: 3.9226 7.4860 7.4860
angles: 120.24 90.00 90.00
Last column: nearest neighbours and their distance in Å.
Fractional positions:
Gd (0.0000, 0.2064, 0.7936)  5 Fe 2.99-3.09, 6 In 3.17-3.34
Gd (0.0000, 0.7936, 0.2064)  5 Fe 2.99-3.09, 6 In 3.17-3.34
Dy (0.0000, 0.6116, 0.6116)  5 Fe 2.99-3.03, 6 In 3.18-3.31
In (0.5000, 0.2040, 0.4594)  4 Fe 2.74-2.85
In (0.5000, 0.4594, 0.2040)  4 Fe 2.74-2.85
In (0.5000, 0.9473, 0.9473)  4 Fe 2.75-2.81
Fe (0.0000, 0.2056, 0.2056)  6 In 2.74-2.75, 1 Dy 3.03
Fe (0.5000, 0.5397, 0.8704)  3 In 2.81-2.85, 2 Dy 2.99, 4 Gd 2.99-3.00
Fe (0.5000, 0.8704, 0.5397)  3 In 2.81-2.85, 2 Dy 2.99, 4 Gd 2.99-3.00


3.
The following is a DFT calculation (PBE-GGA) of a relaxed CuHgF5 crystal.

abc: 5.3533 5.3533 7.4763
angles: 109.87 109.87 71.79
Last column: nearest neighbours and their distance in Å.
Fractional positions:
Cu (0.0000, 0.0000, 0.0000)  6 F 1.87-1.91
Cu (0.0000, 0.0000, 0.5000)  6 F 1.87-1.91
Hg (0.4508, 0.5492, 0.7500)  4 F 2.13-2.29
Hg (0.5492, 0.4508, 0.2500)  4 F 2.13-2.29
F (0.0616, 0.9384, 0.7500)  2 Cu 1.91
F (0.1589, 0.3011, 0.6265)  1 Cu 1.87
F (0.2435, 0.6564, 0.0141)  1 Cu 1.91
F (0.3011, 0.1589, 0.1265)  1 Cu 1.87
F (0.3436, 0.7565, 0.4859)  1 Cu 1.91
F (0.6564, 0.2435, 0.5141)  1 Cu 1.91
F (0.6989, 0.8411, 0.8735)  1 Cu 1.87
F (0.7565, 0.3436, 0.9859)  1 Cu 1.91
F (0.8411, 0.6989, 0.3735)  1 Cu 1.87
F (0.9384, 0.0616, 0.2500)  2 Cu 1.91


4.
The following is a DFT calculation (PBE-GGA) of a relaxed Zr4Bi3 crystal.

abc: 8.5662 8.5662 5.7575
angles: 90.00 90.00 120.00
Last column: nearest neighbours and their distance in Å.
Fractional positions:
Zr (0.1024, 0.4545, 0.2500)  5 Bi 3.00-3.21, 3 Zr 3.30-3.34
Zr (0.3333, 0.6667, 0.7500)  3 Bi 2.93
Zr (0.3521, 0.8976, 0.2500)  5 Bi 3.00-3.21, 3 Zr 3.30-3.34
Zr (0.4545, 0.3521, 0.7500)  5 Bi 3.00-3.21, 3 Zr 3.30-3.34
Zr (0.5455, 0.6479, 0.2500)  5 Bi 3.00-3.21, 3 Zr 3.30-3.34
Zr (0.6479, 0.1024, 0.7500)  5 Bi 3.00-3.21, 3 Zr 3.30-3.34
Zr (0.6667, 0.3333, 0.2500)  3 Bi 2.93
Zr (0.8976, 0.5455, 0.7500)  5 Bi 3.00-3.21, 3 Zr 3.30-3.34
Bi (0.0516, 0.2866, 0.7500)  6 Zr 2.93-3.21
Bi (0.2350, 0.9484, 0.7500)  6 Zr 2.93-3.21
Bi (0.2866, 0.2350, 0.2500)  6 Zr 2.93-3.21
Bi (0.7134, 0.7650, 0.7500)  6 Zr 2.93-3.21
Bi (0.7650, 0.0516, 0.2500)  6 Zr 2.93-3.21
Bi (0.9484, 0.7134, 0.2500)  6 Zr 2.93-3.21

Summary:
Distance to the lowest polymorph of the same formula: 0.00 eV/f.u.


5.
The following is a DFT calculation (PBE-GGA) of a relaxed La2Tb2Mg crystal.

abc: 8.8417 8.8417 4.2580
angles: 90.00 90.00 90.00
Last column: nearest neighbours and their distance in Å.
Fractional positions:
La (0.1548, 0.3452, 0.0000)  6 Tb 3.26-3.42
La (0.3452, 0.8452, 0.0000)  6 Tb 3.26-3.42
La (0.6548, 0.1548, 0.0000)  6 Tb 3.26-3.42
La (0.8452, 0.6548, 0.0000)  6 Tb 3.26-3.42
Tb (0.1473, 0.6473, 0.5000)  6 La 3.26-3.42, 2 Mg 3.38
Tb (0.3527, 0.1473, 0.5000)  6 La 3.26-3.42, 2 Mg 3.38
Tb (0.6473, 0.8527, 0.5000)  6 La 3.26-3.42, 2 Mg 3.38
Tb (0.8527, 0.3527, 0.5000)  6 La 3.26-3.42, 2 Mg 3.38
Mg (0.0000, 0.0000, 0.5000)  4 Tb 3.38
Mg (0.5000, 0.5000, 0.5000)  4 Tb 3.38


6.
The following is a DFT calculation (PBE-GGA) of a relaxed GdTmNi2Sn4 crystal.

abc: 4.4300 9.5993 9.5993
angles: 25.63 90.00 90.00
Last column: nearest neighbours and their distance in Å.
Fractional positions:
Gd (0.0000, 0.0000, 0.0000)  10 Sn 3.30-3.61, 4 Ni 3.31
Tm (0.5000, 0.7798, 0.7798)  10 Sn 3.30-3.61, 4 Ni 3.31
Ni (0.0000, 0.2144, 0.2144)  5 Sn 2.43-2.58
Ni (0.5000, 0.5664, 0.5664)  5 Sn 2.45-2.59
Sn (0.0000, 0.3441, 0.3441)  1 Ni 2.43
Sn (0.0000, 0.6379, 0.6379)  4 Ni 2.57-2.59
Sn (0.5000, 0.1433, 0.1433)  4 Ni 2.57-2.58
Sn (0.5000, 0.4358, 0.4358)  1 Ni 2.45


7.
The following is a DFT calculation (PBE-GGA) of a relaxed TcSbAsO crystal.

abc: 3.8635 3.8635 9.2209
angles: 90.00 90.00 90.00
Last column: nearest neighbours and their distance in Å.
Fractional positions:
Tc (0.2500, 0.7500, 0.0000)  4 As 2.51, 4 Tc 2.73
Tc (0.7500, 0.2500, 0.0000)  4 As 2.51, 4 Tc 2.73
Sb (0.2500, 0.2500, 0.3678)  4 O 2.28
Sb (0.7500, 0.7500, 0.6322)  4 O 2.28
As (0.2500, 0.2500, 0.8258)  4 Tc 2.51
As (0.7500, 0.7500, 0.1742)  4 Tc 2.51
O (0.2500, 0.7500, 0.5000)  4 Sb 2.28
O (0.7500, 0.2500, 0.5000)  4 Sb 2.28

Summary:
Distance to the lowest polymorph of the same formula: 0.07 eV/f.u.


8.
The following is a DFT calculation (PBE-GGA) of a relaxed LiIn2Pt crystal.

abc: 3.4661 3.4661 6.1279
angles: 90.00 90.00 90.00
Last column: nearest neighbours and their distance in Å.
Fractional positions:
Li (0.0000, 0.0000, 0.0000)  8 In 2.90, 2 Pt 3.06
In (0.5000, 0.5000, 0.2531)  4 Pt 2.88, 4 Li 2.90, 2 In 3.03-3.10
In (0.5000, 0.5000, 0.7469)  4 Pt 2.88, 4 Li 2.90, 2 In 3.03-3.10
Pt (0.0000, 0.0000, 0.5000)  8 In 2.88, 2 Li 3.06

Summary:
Distance to the lowest polymorph of the same formula: 0.45 eV/f.u.


9.
The following is a DFT calculation (PBE-GGA) of a relaxed Sm2HoCu4Sn4 crystal.

abc: 8.5127 8.5127 8.5127
angles: 149.13 132.01 58.16
Last column: nearest neighbours and their distance in Å.
Fractional positions:
Sm (0.1319, 0.1319, 0.0000)  6 Cu 3.19-3.22, 6 Sn 3.21-3.32
Sm (0.8681, 0.8681, 0.0000)  6 Cu 3.19-3.22, 6 Sn 3.21-3.32
Ho (0.5000, 0.0000, 0.5000)  6 Sn 3.05-3.20
Cu (0.1438, 0.3304, 0.8134)  1 Cu 2.58, 4 Sn 2.63-2.77
Cu (0.4829, 0.6696, 0.8134)  1 Cu 2.58, 4 Sn 2.63-2.77
Cu (0.5171, 0.3304, 0.1866)  1 Cu 2.58, 4 Sn 2.63-2.77
Cu (0.8562, 0.6696, 0.1866)  1 Cu 2.58, 4 Sn 2.63-2.77
Sn (0.2054, 0.5000, 0.7054)  2 Cu 2.63, 1 Sn 2.84
Sn (0.2851, 0.7851, 0.5000)  6 Cu 2.69-2.77
Sn (0.7149, 0.2149, 0.5000)  6 Cu 2.69-2.77
Sn (0.7946, 0.5000, 0.2946)  2 Cu 2.63, 1 Sn 2.84


10.
The following is a DFT calculation (PBE-GGA) of a relaxed FeSb3 crystal.

abc: 5.0982 5.0982 5.0982
angles: 60.00 60.00 60.00
Last column: nearest neighbours and their distance in Å.
Fractional positions:
Fe (0.0000, 0.0000, 0.0000)  8 Sb 3.12
Sb (0.2500, 0.2500, 0.2500)  4 Sb 3.12, 4 Fe 3.12
Sb (0.5000, 0.5000, 0.5000)  8 Sb 3.12
Sb (0.7500, 0.7500, 0.7500)  4 Sb 3.12, 4 Fe 3.12

Summary:
Distance to the lowest polymorph of the same formula: 2.33 eV/f.u.


11.
The following is a DFT calculation (PBE-GGA) of a relaxed Li2CdPtS4 crystal.

abc: 7.5242 7.4201 6.0317
angles: 90.00 90.00 90.00
Last column: nearest neighbours and their distance in Å.
Fractional positions:
Li (0.2372, 0.1886, 0.0000)  4 S 2.38-2.45
Li (0.2628, 0.8114, 0.5000)  4 S 2.38-2.45
Li (0.7372, 0.8114, 0.5000)  4 S 2.38-2.45
Li (0.7628, 0.1886, 0.0000)  4 S 2.38-2.45
Cd (0.0000, 0.7021, 0.9998)  4 S 2.56-2.62
Cd (0.5000, 0.2979, 0.4998)  4 S 2.56-2.62
Pt (0.0000, 0.3369, 0.4817)  4 S 2.28-2.29
Pt (0.5000, 0.6631, 0.9817)  4 S 2.28-2.29
S (0.0000, 0.3770, 0.8571)  1 Pt 2.28, 2 Li 2.43
S (0.0000, 0.6423, 0.4281)  1 Pt 2.29, 2 Li 2.38
S (0.2113, 0.1256, 0.3937)  1 Pt 2.29, 2 Li 2.43-2.45
S (0.2887, 0.8744, 0.8937)  1 Pt 2.29, 2 Li 2.43-2.45
S (0.5000, 0.3577, 0.9281)  1 Pt 2.29, 2 Li 2.38
S (0.5000, 0.6230, 0.3571)  1 Pt 2.28, 2 Li 2.43
S (0.7113, 0.8744, 0.8937)  1 Pt 2.29, 2 Li 2.43-2.45
S (0.7887, 0.1256, 0.3937)  1 Pt 2.29, 2 Li 2.43-2.45


12.
The following is a DFT calculation (PBE-GGA) of a relaxed CsAsAuO crystal.

abc: 4.5746 4.5746 10.7777
angles: 90.00 90.00 90.00
Last column: nearest neighbours and their distance in Å.
Fractional positions:
Cs (0.2500, 0.2500, 0.1491)  4 O 2.80
Cs (0.7500, 0.7500, 0.8509)  4 O 2.80
As (0.2500, 0.2500, 0.6135)  4 Au 2.59
As (0.7500, 0.7500, 0.3865)  4 Au 2.59
Au (0.2500, 0.7500, 0.5000)  4 As 2.59
Au (0.7500, 0.2500, 0.5000)  4 As 2.59
O (0.2500, 0.7500, 0.0000)  4 Cs 2.80
O (0.7500, 0.2500, 0.0000)  4 Cs 2.80

Summary:
Distance to the lowest polymorph of the same formula: 1.90 eV/f.u.


13.
The following is a DFT calculation (PBE-GGA) of a relaxed LuTlNO crystal.

abc: 3.7553 6.5277 5.9964
angles: 90.00 90.00 90.00
Last column: nearest neighbours and their distance in Å.
Fractional positions:
Lu (0.0000, 0.1677, 0.0000)  2 O 2.13, 2 N 2.18
Lu (0.0000, 0.8323, 0.5000)  2 O 2.13, 2 N 2.18
Tl (0.5000, 0.3214, 0.4884)  2 N 2.34, 2 O 2.53-2.54
Tl (0.5000, 0.6786, 0.9884)  2 N 2.34, 2 O 2.53-2.54
N (0.0000, 0.1413, 0.3630)  2 Lu 2.18, 2 Tl 2.34
N (0.0000, 0.8587, 0.8630)  2 Lu 2.18, 2 Tl 2.34
O (0.5000, 0.2968, 0.9102)  2 Lu 2.13
O (0.5000, 0.7032, 0.4102)  2 Lu 2.13

Summary:
Distance to the lowest polymorph of the same formula: 0.67 eV/f.u.


14.
The following is a DFT calculation (PBE-GGA) of a relaxed PrY2In3Ni3 crystal.

abc: 3.8351 7.4922 7.4922
angles: 119.49 90.00 90.00
Last column: nearest neighbours and their distance in Å.
Fractional positions:
Pr (0.0000, 0.0000, 0.0000)  5 Ni 2.98-3.13, 2 In 3.20
Y (0.0000, 0.4133, 0.8231)  5 Ni 2.96-3.07, 6 In 3.16-3.29
Y (0.0000, 0.8231, 0.4133)  5 Ni 2.96-3.07, 6 In 3.16-3.29
In (0.5000, 0.1612, 0.4189)  4 Ni 2.71-2.89
In (0.5000, 0.4189, 0.1612)  4 Ni 2.71-2.89
In (0.5000, 0.6601, 0.6601)  4 Ni 2.67-2.89
Ni (0.0000, 0.4146, 0.4146)  6 In 2.67-2.71
Ni (0.5000, 0.0808, 0.7444)  3 In 2.78-2.89, 4 Y 2.96-2.97, 2 Pr 2.98
Ni (0.5000, 0.7444, 0.0808)  3 In 2.78-2.89, 4 Y 2.96-2.97, 2 Pr 2.98


15.
The following is a DFT calculation (PBE-GGA) of a relaxed CoHgGePt crystal.

abc: 4.5022 4.5022 4.5022
angles: 60.00 60.00 60.00
Last column: nearest neighbours and their distance in Å.
Fractional positions:
Co (0.0000, 0.0000, 0.0000)  4 Ge 2.76, 4 Hg 2.76
Hg (0.2500, 0.2500, 0.2500)  4 Pt 2.76, 4 Co 2.76
Ge (0.7500, 0.7500, 0.7500)  4 Pt 2.76, 4 Co 2.76
Pt (0.5000, 0.5000, 0.5000)  4 Ge 2.76, 4 Hg 2.76

Summary:
Distance to the lowest polymorph of the same formula: 0.00 eV/f.u.


16.
The following is a DFT calculation (PBE-GGA) of a relaxed CdHgNO crystal.

abc: 6.2751 7.2720 5.9079
angles: 90.00 90.00 90.00
Last column: nearest neighbours and their distance in Å.
Fractional positions:
Cd (0.0874, 0.1218, 0.0000)  3 O 2.20-2.21, 1 N 2.23
Cd (0.4126, 0.1218, 0.5000)  3 O 2.20-2.21, 1 N 2.23
Cd (0.5874, 0.8782, 0.0000)  3 O 2.20-2.21, 1 N 2.23
Cd (0.9126, 0.8782, 0.5000)  3 O 2.20-2.21, 1 N 2.23
Hg (0.0942, 0.6097, 0.9950)  3 N 2.17-2.21, 1 O 2.36
Hg (0.4058, 0.6097, 0.4950)  3 N 2.17-2.21, 1 O 2.36
Hg (0.5942, 0.3903, 0.9950)  3 N 2.17-2.21, 1 O 2.36
Hg (0.9058, 0.3903, 0.4950)  3 N 2.17-2.21, 1 O 2.36
N (0.0806, 0.6298, 0.6288)  3 Hg 2.17-2.21, 1 Cd 2.23
N (0.4194, 0.6298, 0.1288)  3 Hg 2.17-2.21, 1 Cd 2.23
N (0.5806, 0.3702, 0.6288)  3 Hg 2.17-2.21, 1 Cd 2.23
N (0.9194, 0.3702, 0.1288)  3 Hg 2.17-2.21, 1 Cd 2.23
O (0.0808, 0.1236, 0.6252)  3 Cd 2.20-2.21, 1 Hg 2.36
O (0.4192, 0.1236, 0.1252)  3 Cd 2.20-2.21, 1 Hg 2.36
O (0.5808, 0.8764, 0.6252)  3 Cd 2.20-2.21, 1 Hg 2.36
O (0.9192, 0.8764, 0.1252)  3 Cd 2.20-2.21, 1 Hg 2.36

Summary:
Distance to the lowest polymorph of the same formula: 0.00 eV/f.u.


17.
The following is a DFT calculation (PBE-GGA) of a relaxed CsHoCdO3 crystal.

abc: 7.3363 7.3363 9.2012
angles: 90.00 90.00 151.59
Last column: nearest neighbours and their distance in Å.
Fractional positions:
Cs (0.1952, 0.8048, 0.7500)  4 O 2.85-3.07
Cs (0.8048, 0.1952, 0.2500)  4 O 2.85-3.07
Ho (0.5000, 0.5000, 0.0000)  6 O 2.32
Ho (0.5000, 0.5000, 0.5000)  6 O 2.32
Cd (0.0845, 0.9155, 0.2500)  4 O 2.10-2.34
Cd (0.9155, 0.0845, 0.7500)  4 O 2.10-2.34
O (0.1014, 0.8986, 0.0235)  1 Cd 2.10, 2 Ho 2.32
O (0.1014, 0.8986, 0.4765)  1 Cd 2.10, 2 Ho 2.32
O (0.4799, 0.5201, 0.2500)  2 Ho 2.32, 2 Cd 2.34
O (0.5201, 0.4799, 0.7500)  2 Ho 2.32, 2 Cd 2.34
O (0.8986, 0.1014, 0.5235)  1 Cd 2.10, 2 Ho 2.32
O (0.8986, 0.1014, 0.9765)  1 Cd 2.10, 2 Ho 2.32


| no. | electronic total energy (eV per cell) |
| --- | --- |
| 1 | -47.1 |
| 2 | -47.8 |
| 3 | -45.3 |
| 4 | -95.5 |
| 5 | -39.7 |
| 6 | -40.1 |
| 7 | -51.0 |
| 8 | -15.0 |
| 9 | -50.7 |
| 10 | -18.5 |
| 11 | -62.6 |
| 12 | -27.2 |
| 13 | -49.6 |
| 14 | -47.0 |
| 15 | -17.3 |
| 16 | -52.4 |
| 17 | -67.0 |